1.
This record from Alexandria via LeMat-Bulk describes a relaxed structure of Sr2LaNpO6. The functional is GGA-PBE.

abc: 6.0602 6.2529 10.5947
angles: 90.00 124.73 90.00
Last column: nearest neighbours and their distance in Å.
Element x y z (fractional)
Sr (0.2394, 0.0476, 0.2527)  4 O 2.51-2.62
Sr (0.2394, 0.4524, 0.7527)  4 O 2.51-2.62
Sr (0.7606, 0.5476, 0.2473)  4 O 2.51-2.62
Sr (0.7606, 0.9524, 0.7473)  4 O 2.51-2.62
La (0.5000, 0.0000, 0.0000)  6 O 2.41-2.43
La (0.5000, 0.5000, 0.5000)  6 O 2.41-2.43
Np (0.0000, 0.0000, 0.5000)  6 O 2.13-2.18
Np (0.0000, 0.5000, 0.0000)  6 O 2.13-2.18
O (0.1183, 0.2160, 0.9327)  1 Np 2.18, 1 La 2.41
O (0.1183, 0.2840, 0.4327)  1 Np 2.18, 1 La 2.41
O (0.2310, 0.6855, 0.9463)  1 Np 2.13
O (0.2310, 0.8145, 0.4463)  1 Np 2.13
O (0.3465, 0.0516, 0.7343)  1 Np 2.18, 1 La 2.43
O (0.3465, 0.4484, 0.2343)  1 Np 2.18, 1 La 2.43
O (0.6535, 0.5516, 0.7657)  1 Np 2.18, 1 La 2.43
O (0.6535, 0.9484, 0.2657)  1 Np 2.18, 1 La 2.43
O (0.7690, 0.1855, 0.5537)  1 Np 2.13
O (0.7690, 0.3145, 0.0537)  1 Np 2.13
O (0.8817, 0.7160, 0.5673)  1 Np 2.18, 1 La 2.41
O (0.8817, 0.7840, 0.0673)  1 Np 2.18, 1 La 2.41

Output
- formation energy from raw total energies (meV/atom) = -3101
- magnetic moment (Bohr magnetons per cell) = 4.00
- volume (Å³/cell) = 330.0

---

2.
This record from Alexandria via LeMat-Bulk describes a relaxed structure of La2TbNpO8. The functional is GGA-PBE.

abc: 4.0018 7.6044 5.6291
angles: 90.00 94.81 90.00
Last column: nearest neighbours and their distance in Å.
Element x y z (fractional)
La (0.0000, 0.2440, 0.0000)  8 O 2.34-2.56
La (0.0000, 0.7560, 0.0000)  8 O 2.34-2.56
Tb (0.5000, 0.0000, 0.5000)  8 O 2.30-2.56
Np (0.5000, 0.5000, 0.5000)  6 O 2.04-2.10
O (0.0110, 0.0000, 0.2540)  2 Tb 2.30-2.56, 2 La 2.34
O (0.0616, 0.5000, 0.2878)  1 Np 2.04
O (0.4632, 0.2807, 0.7244)  1 Np 2.10
O (0.4632, 0.7193, 0.7244)  1 Np 2.10
O (0.5368, 0.2807, 0.2756)  1 Np 2.10
O (0.5368, 0.7193, 0.2756)  1 Np 2.10
O (0.9384, 0.5000, 0.7122)  1 Np 2.04
O (0.9890, 0.0000, 0.7460)  2 Tb 2.30-2.56, 2 La 2.34

Output
- formation energy from raw total energies (meV/atom) = -3174
- magnetic moment (Bohr magnetons per cell) = 0.00
- volume (Å³/cell) = 170.7

---

3.
This record from Alexandria via LeMat-Bulk describes a relaxed structure of LaTbNpO6. The functional is GGA-PBE.

abc: 5.8265 5.8265 9.8930
angles: 90.00 90.00 120.00
Last column: nearest neighbours and their distance in Å.
Element x y z (fractional)
La (0.0000, 0.0000, 0.0000)  6 O 2.48
La (0.0000, 0.0000, 0.5000)  6 O 2.48
Tb (0.3333, 0.6667, 0.2500)  6 O 2.29
Tb (0.6667, 0.3333, 0.7500)  6 O 2.29
Np (0.3333, 0.6667, 0.7500)  6 O 2.08
Np (0.6667, 0.3333, 0.2500)  6 O 2.08
O (0.0270, 0.3680, 0.6380)  1 Np 2.08, 1 Tb 2.29
O (0.0270, 0.6591, 0.8620)  1 Np 2.08, 1 Tb 2.29
O (0.3409, 0.3680, 0.8620)  1 Np 2.08, 1 Tb 2.29
O (0.3409, 0.9730, 0.6380)  1 Np 2.08, 1 Tb 2.29
O (0.3680, 0.0270, 0.1380)  1 Np 2.08, 1 Tb 2.29
O (0.3680, 0.3409, 0.3620)  1 Np 2.08, 1 Tb 2.29
O (0.6320, 0.6591, 0.6380)  1 Np 2.08, 1 Tb 2.29
O (0.6320, 0.9730, 0.8620)  1 Np 2.08, 1 Tb 2.29
O (0.6591, 0.0270, 0.3620)  1 Np 2.08, 1 Tb 2.29
O (0.6591, 0.6320, 0.1380)  1 Np 2.08, 1 Tb 2.29
O (0.9730, 0.3409, 0.1380)  1 Np 2.08, 1 Tb 2.29
O (0.9730, 0.6320, 0.3620)  1 Np 2.08, 1 Tb 2.29

Output
- formation energy from raw total energies (meV/atom) = -3226
- magnetic moment (Bohr magnetons per cell) = 2.00
- volume (Å³/cell) = 290.9